Computed, not measured: a relaxed LiCa2ErS4 crystal at the PBE-GGA level of DFT.

a b c (Å): 6.7857 3.9670 6.8055
angles (deg): 90.00 108.70 90.00
With the nearest neighbours (Å) after each atom.
Element x y z (fractional)
Li (0.0000, 0.0000, 0.0000)  6 S 2.71-2.79
Ca (0.0000, 0.5000, 0.5000)  6 S 2.82-2.86
Ca (0.5000, 0.0000, 0.5000)  6 S 2.81-2.82
Er (0.5000, 0.5000, 0.0000)  6 S 2.70-2.75
S (0.2526, 0.5000, 0.2415)  1 Er 2.70, 2 Li 2.79, 3 Ca 2.82
S (0.2548, 0.0000, 0.7642)  1 Li 2.71, 2 Er 2.75, 3 Ca 2.81-2.86
S (0.7452, 0.0000, 0.2358)  1 Li 2.71, 2 Er 2.75, 3 Ca 2.81-2.86
S (0.7474, 0.5000, 0.7585)  1 Er 2.70, 2 Li 2.79, 3 Ca 2.82

uncorrected formation energy: -1.974 eV/atom
total magnetization: 0.0 μB/cell
symmetry: P2/m